Computed, not measured: an optimized crystal structure of Rb3PuCo2O6 at the PBE with a Hubbard U level of DFT.

```
12
Lattice="5.7484 -0.0456 0.0117 -2.9123 4.9562 0.0117 -0.9341 -1.6173 6.4351" Properties=species:S:1:pos:R:3 pbc="T T T"
Co 2.8817 1.6100 0.0117
Pu 0.0000 0.0000 0.0000
Rb -1.8809 3.2822 3.2292
Rb 3.7829 0.0111 3.2292
O -0.0224 -0.0387 5.3050
O 2.8372 1.6481 5.3515
Co -0.0456 3.3006 0.0117
Rb 0.9510 1.6467 3.2292
O 1.8924 0.0121 1.1069
O 0.0096 3.2812 5.3515
O -0.9352 1.6452 1.1069
O 1.9244 3.3321 1.1534
```

Results
The total energy is -6.374 eV per atom.